CaTl4Ni4O12: relaxed, PBE with a Hubbard U.

Results
Fermi-level density of states = 3.13 states/eV/cell
distance to the lowest polymorph of the same formula = 1.16 kcal/mol of atoms

abc: 5.4212 5.6361 8.9297
angles: 82.44 83.89 85.35
Closest atoms and distances in Å follow each position.
Fractional coordinates of all 21 atoms:
Ca  0.0000  0.0000  0.0000  6 O 2.25-2.48
Tl  0.0623  0.0690  0.6343  5 O 2.21-2.43
Tl  0.1197  0.2737  0.2345  5 O 2.24-2.39
Tl  0.5711  0.7290  0.1889  5 O 2.21-2.40
Tl  0.6113  0.5809  0.6632  3 O 2.14-2.23
Ni  0.0557  0.5461  0.8790  5 O 1.98-2.09
Ni  0.1174  0.6481  0.4479  5 O 1.94-2.06
Ni  0.5405  0.0760  0.8628  5 O 1.89-2.06
Ni  0.6024  0.1338  0.4231  5 O 2.00-2.18
O  0.2174  0.6514  0.6633  2 Ni 2.06, 1 Tl 2.14
O  0.2851  0.2807  0.9592  2 Ni 1.93-1.98
O  0.3082  0.9369  0.3578  2 Ni 2.03-2.18
O  0.3800  0.8107  0.9715  1 Ni 1.89
O  0.3937  0.4465  0.3512  2 Ni 2.00-2.08, 1 Tl 2.21
O  0.4502  0.1551  0.6424  2 Ni 2.06, 1 Tl 2.21
O  0.7611  0.0916  0.2118  1 Ni 2.02
O  0.8136  0.3147  0.8164  2 Ni 2.05-2.09, 1 Tl 2.20
O  0.8163  0.8452  0.4973  2 Ni 1.94-2.00
O  0.8205  0.8450  0.8167  2 Ni 1.96-2.08
O  0.9008  0.3635  0.4694  2 Ni 2.04-2.25, 1 Tl 2.26
O  0.9450  0.5949  0.1005  1 Ni 2.05, 2 Tl 2.21-2.24